{
  "formula": "MgCd2H6Ir",
  "functional": "PBE",
  "state": "optimized geometry",
  "final_energy_ev_per_atom": -3.0235,
  "cell": [[0.000, 3.782, 3.782], [3.782, 0.000, 3.782], [3.782, 3.782, 0.000]],
  "species": ["Cd", "Cd", "H", "H", "H", "H", "H", "H", "Ir", "Mg"],
  "fractional_positions": [[0.250, 0.250, 0.250], [0.750, 0.750, 0.750], [0.772, 0.228, 0.228], [0.228, 0.772, 0.228], [0.772, 0.772, 0.228], [0.228, 0.228, 0.772], [0.772, 0.228, 0.772], [0.228, 0.772, 0.772], [0.000, 0.000, 0.000], [0.500, 0.500, 0.500]]
}